{"formula": "Ca3MgAl", "functional": "PBEsol", "state": "optimized geometry", "lattice": [[5.809, 0.000, 0.000], [0.000, 5.809, 0.000], [0.000, 0.000, 5.809]], "species": ["Ca", "Ca", "Ca", "Mg", "Al"], "frac_coords": [[0.000, 0.000, 0.500], [0.000, 0.500, 0.000], [0.500, 0.000, 0.000], [0.000, 0.000, 0.000], [0.500, 0.500, 0.500]], "magnetic_moment_mub_per_cell": 0.0, "delta_e_f_ev_per_atom": 0.564}

{"formula": "RbLiCaNb2", "functional": "PBEsol", "state": "optimized geometry", "lattice": [[5.001, 0.000, 0.000], [0.000, 5.001, 0.000], [0.000, 0.000, 6.086]], "species": ["Rb", "Li", "Ca", "Nb", "Nb"], "frac_coords": [[0.000, 0.000, 0.000], [0.500, 0.500, 0.000], [0.000, 0.000, 0.500], [0.000, 0.500, 0.500], [0.500, 0.000, 0.500]], "magnetic_moment_mub_per_cell": 2.3, "delta_e_f_ev_per_atom": 2.050}

{"formula": "ZrCoRh2", "functional": "PBEsol", "state": "optimized geometry", "lattice": [[3.222, 0.000, 0.000], [0.000, 3.222, 0.000], [0.000, 0.000, 5.590]], "species": ["Zr", "Co", "Rh", "Rh"], "frac_coords": [[0.000, 0.000, 0.000], [0.500, 0.500, 0.278], [0.000, 0.000, 0.457], [0.500, 0.500, 0.736]], "magnetic_moment_mub_per_cell": 0.5, "delta_e_f_ev_per_atom": -0.221}

{"formula": "BaScFe2", "functional": "PBEsol", "state": "optimized geometry", "lattice": [[1.945, 1.123, 7.195], [-1.945, 1.123, 7.195], [0.000, -2.246, 7.195]], "species": ["Ba", "Sc", "Fe", "Fe"], "frac_coords": [[0.000, 0.000, 0.000], [0.823, 0.823, 0.823], [0.225, 0.225, 0.225], [0.557, 0.557, 0.557]], "magnetic_moment_mub_per_cell": 2.8, "delta_e_f_ev_per_atom": 0.251, "e_above_lowest_polymorph_mev_per_atom": 0.0}

{"formula": "SnCI2F", "functional": "PBEsol", "state": "optimized geometry", "lattice": [[5.850, 0.000, 0.000], [0.000, 5.850, 0.000], [0.000, 0.000, 4.298]], "species": ["Sn", "C", "I", "I", "F"], "frac_coords": [[0.000, 0.000, 0.000], [0.500, 0.500, 0.500], [0.000, 0.500, 0.000], [0.500, 0.000, 0.000], [0.000, 0.000, 0.500]], "magnetic_moment_mub_per_cell": 1.6, "e_form_raw_ev_per_atom": 0.772}

{"formula": "Zr2BeSb", "functional": "PBEsol", "state": "optimized geometry", "lattice": [[-2.116, 2.116, 4.150], [2.116, -2.116, 4.150], [2.116, 2.116, -4.150]], "species": ["Zr", "Zr", "Be", "Sb"], "frac_coords": [[0.250, 0.750, 0.500], [0.750, 0.250, 0.500], [0.000, 0.000, 0.000], [0.500, 0.500, 0.000]], "magnetic_moment_mub_per_cell": 0.0, "e_above_lowest_polymorph_mev_per_atom": 230.1, "e_form_raw_ev_per_atom": -0.283}

{"formula": "CaSi2", "functional": "PBEsol", "state": "optimized geometry", "lattice": [[-2.108, 2.108, 6.735], [2.108, -2.108, 6.735], [2.108, 2.108, -6.735]], "species": ["Ca", "Ca", "Si", "Si", "Si", "Si"], "frac_coords": [[0.375, 0.625, 0.750], [0.625, 0.375, 0.250], [0.040, 0.790, 0.250], [0.210, 0.960, 0.250], [0.790, 0.040, 0.750], [0.960, 0.210, 0.750]], "magnetic_moment_mub_per_cell": 0.0, "e_form_raw_ev_per_atom": -0.424}

{"formula": "TaAgIr", "functional": "PBEsol", "state": "optimized geometry", "lattice": [[0.000, 3.046, 3.046], [3.046, 0.000, 3.046], [3.046, 3.046, 0.000]], "species": ["Ta", "Ag", "Ir"], "frac_coords": [[0.000, 0.000, 0.000], [0.500, 0.500, 0.500], [0.250, 0.250, 0.250]], "magnetic_moment_mub_per_cell": 0.0, "delta_e_f_ev_per_atom": 0.317}

{"formula": "Mn3GaN", "functional": "PBEsol", "state": "optimized geometry", "lattice": [[3.726, 0.000, 0.000], [0.000, 3.726, 0.000], [0.000, 0.000, 3.726]], "species": ["Mn", "Mn", "Mn", "Ga", "N"], "frac_coords": [[0.000, 0.000, 0.500], [0.000, 0.500, 0.000], [0.500, 0.000, 0.000], [0.500, 0.500, 0.500], [0.000, 0.000, 0.000]], "magnetic_moment_mub_per_cell": 2.9, "e_form_raw_ev_per_atom": -0.384}

{"formula": "ScSnSe3", "functional": "PBEsol", "state": "optimized geometry", "lattice": [[5.130, 0.000, 0.000], [0.000, 5.130, 0.000], [0.000, 0.000, 5.130]], "species": ["Sc", "Sn", "Se", "Se", "Se"], "frac_coords": [[0.000, 0.000, 0.000], [0.500, 0.500, 0.500], [0.000, 0.500, 0.500], [0.500, 0.000, 0.500], [0.500, 0.500, 0.000]], "magnetic_moment_mub_per_cell": 0.3, "e_form_raw_ev_per_atom": -0.045}

{"formula": "Rb3BaSb", "functional": "PBEsol", "state": "optimized geometry", "lattice": [[7.034, 0.000, 0.000], [0.000, 7.034, 0.000], [0.000, 0.000, 7.034]], "species": ["Rb", "Rb", "Rb", "Ba", "Sb"], "frac_coords": [[0.000, 0.000, 0.500], [0.000, 0.500, 0.000], [0.500, 0.000, 0.000], [0.500, 0.500, 0.500], [0.000, 0.000, 0.000]], "magnetic_moment_mub_per_cell": 0.0, "e_above_lowest_polymorph_mev_per_atom": 0.0, "e_form_raw_ev_per_atom": 0.047}

{"formula": "MnRhSe2", "functional": "PBEsol", "state": "optimized geometry", "lattice": [[3.368, 0.000, 0.000], [0.000, 3.368, 0.000], [0.000, 0.000, 6.027]], "species": ["Mn", "Rh", "Se", "Se"], "frac_coords": [[0.000, 0.000, 0.000], [0.500, 0.500, 0.246], [0.000, 0.000, 0.393], [0.500, 0.500, 0.846]], "magnetic_moment_mub_per_cell": 2.8, "e_above_lowest_polymorph_mev_per_atom": 0.0, "e_form_raw_ev_per_atom": -0.275}

| no. | total DFT energy (no corrections) (eV per atom) |
| --- | --- |
| 1 | -1.878 |
| 2 | -3.304 |
| 3 | -8.497 |
| 4 | -6.419 |
| 5 | -3.101 |
| 6 | -6.967 |
| 7 | -4.966 |
| 8 | -8.245 |
| 9 | -8.614 |
| 10 | -4.528 |
| 11 | -1.909 |
| 12 | -6.675 |